Record 1
Material: KBaTc2O8
Method: DFT, PBE-GGA
State: relaxed

Unit cell a=6.843 b=6.523 c=7.924 alpha=54.66 beta=64.42 gamma=58.36
Each line ends with the local moment (μB).
Fractional positions:
Tc: 0.706 0.765 0.823  0.35
Tc: 0.294 0.235 0.177  0.35
O: 0.328 0.441 0.903  0.04
O: 0.157 0.020 0.250  0.03
O: 0.874 0.542 0.710  0.03
O: 0.428 0.980 0.750  0.03
O: 0.672 0.559 0.097  0.04
O: 0.843 0.980 0.750  0.03
O: 0.572 0.020 0.250  0.03
O: 0.126 0.458 0.290  0.03
Ba: 0.000 0.000 0.000  0.01
K: 0.500 0.500 0.500  0.00

Results
- total magnetization (μB per cell) = 1.1
- total DFT energy (no corrections) (eV per atom) = -7.10

---

Record 2
Material: OsSeF2
Method: DFT, PBE-GGA
State: relaxed

Unit cell a=9.430 b=9.430 c=9.430 alpha=16.73 beta=16.73 gamma=16.73
Each line ends with the local moment (μB).
Fractional positions:
Os: 0.500 0.500 0.500  1.27
F: 0.067 0.067 0.067  0.02
F: 0.933 0.933 0.933  0.02
Se: 0.000 0.000 0.000  -0.01

Results
- total magnetization (μB per cell) = 1.5
- total DFT energy (no corrections) (eV per atom) = -4.69
- offset from the most stable computed form (kJ/mol of atoms) = 56.4

---

Record 3
Material: NpZn2Pd
Method: DFT, PBE-GGA
State: relaxed

Unit cell a=2.859 b=2.859 c=8.283 alpha=90.00 beta=90.00 gamma=90.00
Each line ends with the local moment (μB).
Fractional positions:
Pd: 0.500 0.500 0.000  0.03
Zn: 0.000 0.000 0.210  0.00
Zn: 0.000 0.000 0.790  0.00
Np: 0.500 0.500 0.500  3.80

Results
- total magnetization (μB per cell) = 4.0
- energy relative to the elements (eV per formula unit) = -0.68
- total DFT energy (no corrections) (eV per atom) = -5.34